No. 1
Computed, not measured: a relaxed structure of CsGa2TcAs at the GGA-PBE level of DFT.

SG	P4/mmm, No. 123
raw total energy	-4.5082	eV per atom
calculated formation energy	-0.124	eV per atom

abc: 5.0434 5.0434 4.8787
angles: 90.00 90.00 90.00
With the nearest neighbours (Å) after each atom.
Sites, in units of the cell vectors:
1 Cs 0.0000 0.0000 0.0000  8 Ga 3.51, 4 As 3.57
2 Ga 0.0000 0.5000 0.5000  2 Tc 2.52
3 Ga 0.5000 0.0000 0.5000  2 Tc 2.52
4 Tc 0.5000 0.5000 0.5000  2 As 2.44, 4 Ga 2.52
5 As 0.5000 0.5000 0.0000  2 Tc 2.44


No. 2
Computed, not measured: a relaxed structure of CsTlGaAs at the GGA-PBE level of DFT.

SG	P4/nmm, No. 129
raw total energy	-2.9862	eV per atom
calculated formation energy	-0.262	eV per atom

abc: 4.5505 4.5505 14.0573
angles: 90.00 90.00 90.00
With the nearest neighbours (Å) after each atom.
Sites, in units of the cell vectors:
1 Cs 0.2500 0.2500 0.2385  4 As 3.80, 4 Ga 4.05
2 Cs 0.7500 0.7500 0.7615  4 As 3.80, 4 Ga 4.05
3 Tl 0.2500 0.7500 0.5000  4 Tl 3.22
4 Tl 0.7500 0.2500 0.5000  4 Tl 3.22
5 Ga 0.2500 0.7500 0.0000  4 As 2.64
6 Ga 0.7500 0.2500 0.0000  4 As 2.64
7 As 0.2500 0.2500 0.9047  4 Ga 2.64
8 As 0.7500 0.7500 0.0953  4 Ga 2.64


No. 3
Computed, not measured: a relaxed structure of CsGe2As2 at the GGA-PBE level of DFT.

SG	I4/mmm, No. 139
raw total energy	-4.0517	eV per atom
calculated formation energy	-0.174	eV per atom
energy above the lowest structure with this stoichiometry	0.00	eV per formula unit

abc: 7.5029 7.5029 7.5029
angles: 143.10 143.10 53.18
With the nearest neighbours (Å) after each atom.
Sites, in units of the cell vectors:
1 Cs 0.0000 0.0000 0.0000  8 As 4.00, 8 Ge 4.11
2 Ge 0.2500 0.7500 0.5000  4 As 2.65
3 Ge 0.7500 0.2500 0.5000  4 As 2.65
4 As 0.3375 0.3375 0.0000  4 Ge 2.65
5 As 0.6625 0.6625 0.0000  4 Ge 2.65


No. 4
Computed, not measured: a relaxed structure of Cs2GeAs at the GGA-PBE level of DFT.

SG	Fm-3m, No. 225
raw total energy	-2.3900	eV per atom
calculated formation energy	0.353	eV per atom
energy above the lowest structure with this stoichiometry	2.72	eV per formula unit

abc: 6.1735 6.1735 6.1735
angles: 60.00 60.00 60.00
With the nearest neighbours (Å) after each atom.
Sites, in units of the cell vectors:
1 Cs 0.2500 0.2500 0.2500  4 Ge 3.78, 4 As 3.78
2 Cs 0.7500 0.7500 0.7500  4 Ge 3.78, 4 As 3.78
3 Ge 0.0000 0.0000 0.0000  8 Cs 3.78
4 As 0.5000 0.5000 0.5000  8 Cs 3.78


No. 5
Computed, not measured: a relaxed structure of CsGe3As at the GGA-PBE level of DFT.

SG	Pm-3m, No. 221
raw total energy	-1.8571	eV per atom
calculated formation energy	2.014	eV per atom
energy above the lowest structure with this stoichiometry	7.27	eV per formula unit

abc: 5.6848 5.6848 5.6848
angles: 90.00 90.00 90.00
With the nearest neighbours (Å) after each atom.
Sites, in units of the cell vectors:
1 Cs 0.0000 0.0000 0.0000  6 Ge 2.84
2 Ge 0.0000 0.0000 0.5000  2 Cs 2.84
3 Ge 0.0000 0.5000 0.0000  2 Cs 2.84
4 Ge 0.5000 0.0000 0.0000  2 Cs 2.84
5 As 0.5000 0.5000 0.5000  12 Ge 4.02


No. 6
Computed, not measured: a relaxed structure of Cs2Ge4As at the GGA-PBE level of DFT.

SG	I4/mmm, No. 139
raw total energy	-3.1468	eV per atom
calculated formation energy	0.400	eV per atom

abc: 9.8399 9.8399 9.8399
angles: 148.05 148.05 45.81
With the nearest neighbours (Å) after each atom.
Sites, in units of the cell vectors:
1 Cs 0.1548 0.1548 0.0000  9 Ge 3.86-3.91
2 Cs 0.8452 0.8452 0.0000  9 Ge 3.86-3.91
3 Ge 0.0000 0.5000 0.5000  2 As 2.71
4 Ge 0.3706 0.3706 0.0000  1 As 2.35
5 Ge 0.5000 0.0000 0.5000  2 As 2.71
6 Ge 0.6294 0.6294 0.0000  1 As 2.35
7 As 0.5000 0.5000 0.0000  2 Ge 2.35


No. 7
Computed, not measured: a relaxed structure of CsGe3As at the GGA-PBE level of DFT.

SG	Pm-3m, No. 221
raw total energy	-3.3104	eV per atom
calculated formation energy	0.561	eV per atom
energy above the lowest structure with this stoichiometry	0.00	eV per formula unit

abc: 5.3072 5.3072 5.3072
angles: 90.00 90.00 90.00
With the nearest neighbours (Å) after each atom.
Sites, in units of the cell vectors:
1 Cs 0.0000 0.0000 0.0000  12 Ge 3.75
2 Ge 0.0000 0.5000 0.5000  2 As 2.65
3 Ge 0.5000 0.0000 0.5000  2 As 2.65
4 Ge 0.5000 0.5000 0.0000  2 As 2.65
5 As 0.5000 0.5000 0.5000  6 Ge 2.65


No. 8
Computed, not measured: a relaxed structure of CsGeAs at the GGA-PBE level of DFT.

SG	P3m1, No. 156
raw total energy	-3.6354	eV per atom
calculated formation energy	-0.262	eV per atom
energy above the lowest structure with this stoichiometry	0.00	eV per formula unit

abc: 4.0966 4.0966 6.6725
angles: 90.00 90.00 120.00
With the nearest neighbours (Å) after each atom.
Sites, in units of the cell vectors:
1 Cs 0.0000 0.0000 0.0000  3 As 3.58, 3 Ge 3.69
2 Ge 0.3333 0.6667 0.4243  3 As 2.63
3 As 0.6667 0.3333 0.5974  3 Ge 2.63


No. 9
Computed, not measured: a relaxed structure of Cs2GeAs at the GGA-PBE level of DFT.

SG	Cmce, No. 64
raw total energy	-3.0710	eV per atom
calculated formation energy	-0.327	eV per atom
energy above the lowest structure with this stoichiometry	0.00	eV per formula unit

abc: 7.8853 7.8853 10.2673
angles: 90.00 90.00 89.89
With the nearest neighbours (Å) after each atom.
Sites, in units of the cell vectors:
1 Cs 0.0005 0.4995 0.7500  4 As 3.91-3.92, 4 Ge 3.92-3.93, 4 Cs 4.01
2 Cs 0.0008 0.9992 0.8201  5 Cs 3.69-4.01, 2 Ge 3.73, 2 As 3.75
3 Cs 0.4995 0.0005 0.2500  4 As 3.91-3.92, 4 Ge 3.92-3.93, 4 Cs 4.01
4 Cs 0.4992 0.5008 0.3201  5 Cs 3.69-4.01, 2 Ge 3.73, 2 As 3.75
5 Cs 0.5008 0.4992 0.6799  5 Cs 3.69-4.01, 2 Ge 3.73, 2 As 3.75
6 Cs 0.5005 0.9995 0.7500  4 As 3.91-3.92, 4 Ge 3.92-3.93, 4 Cs 4.01
7 Cs 0.9992 0.0008 0.1799  5 Cs 3.69-4.01, 2 Ge 3.73, 2 As 3.75
8 Cs 0.9995 0.5005 0.2500  4 As 3.91-3.92, 4 Ge 3.92-3.93, 4 Cs 4.01
9 Ge 0.1575 0.8425 0.4995  2 As 2.51
10 Ge 0.3425 0.6575 0.9995  2 As 2.51
11 Ge 0.6575 0.3425 0.0005  2 As 2.51
12 Ge 0.8425 0.1575 0.5005  2 As 2.51
13 As 0.1610 0.1610 0.5000  2 Ge 2.51
14 As 0.3390 0.3390 0.0000  2 Ge 2.51
15 As 0.6610 0.6610 0.0000  2 Ge 2.51
16 As 0.8390 0.8390 0.5000  2 Ge 2.51


No. 10
Computed, not measured: a relaxed structure of Cs3GeAs2 at the GGA-PBE level of DFT.

SG	Ibam, No. 72
raw total energy	-3.0361	eV per atom
calculated formation energy	-0.290	eV per atom
energy above the lowest structure with this stoichiometry	0.00	eV per formula unit

abc: 9.7384 9.7384 9.7384
angles: 125.81 71.55 137.01
With the nearest neighbours (Å) after each atom.
Sites, in units of the cell vectors:
1 Cs 0.1798 0.6899 0.8697  3 As 3.54-3.90, 2 Ge 3.75
2 Cs 0.2500 0.2500 0.0000  2 Cs 3.57, 4 As 3.67
3 Cs 0.3202 0.1899 0.5101  3 As 3.54-3.90, 2 Ge 3.75
4 Cs 0.6798 0.8101 0.4899  3 As 3.54-3.90, 2 Ge 3.75
5 Cs 0.7500 0.7500 0.0000  2 Cs 3.57, 4 As 3.67
6 Cs 0.8202 0.3101 0.1303  3 As 3.54-3.90, 2 Ge 3.75
7 Ge 0.2500 0.7500 0.5000  4 As 2.66
8 Ge 0.7500 0.2500 0.5000  4 As 2.66
9 As 0.0814 0.3311 0.4125  2 Ge 2.66
10 As 0.4186 0.8311 0.2497  2 Ge 2.66
11 As 0.5814 0.1689 0.7503  2 Ge 2.66
12 As 0.9186 0.6689 0.5875  2 Ge 2.66


No. 11
Computed, not measured: a relaxed structure of Cs5Ge4As2 at the GGA-PBE level of DFT.

SG	C2/m, No. 12
raw total energy	-3.0436	eV per atom
calculated formation energy	-0.131	eV per atom

abc: 8.1907 8.1907 9.8849
angles: 101.45 101.45 94.27
With the nearest neighbours (Å) after each atom.
Sites, in units of the cell vectors:
1 Cs 0.0000 0.0000 0.0000  4 Ge 3.63-3.73
2 Cs 0.0136 0.4205 0.6822  3 Ge 3.56-3.93, 1 As 3.74
3 Cs 0.4205 0.0136 0.6822  3 Ge 3.56-3.93, 1 As 3.74
4 Cs 0.5795 0.9864 0.3178  3 Ge 3.56-3.93, 1 As 3.74
5 Cs 0.9864 0.5795 0.3178  3 Ge 3.56-3.93, 1 As 3.74
6 Ge 0.0263 0.0263 0.3848  2 Ge 2.46-2.51
7 Ge 0.2333 0.2333 0.3440  1 As 2.44, 1 Ge 2.46
8 Ge 0.7667 0.7667 0.6560  1 As 2.44, 1 Ge 2.46
9 Ge 0.9737 0.9737 0.6152  2 Ge 2.46-2.51
10 As 0.4146 0.4146 0.5550  1 Ge 2.44, 1 As 2.45
11 As 0.5854 0.5854 0.4450  1 Ge 2.44, 1 As 2.45


No. 12
Computed, not measured: a relaxed structure of Cs3GeAs at the GGA-PBE level of DFT.

SG	Pm-3m, No. 221
raw total energy	-2.1334	eV per atom
calculated formation energy	0.232	eV per atom

abc: 6.9781 6.9781 6.9781
angles: 90.00 90.00 90.00
With the nearest neighbours (Å) after each atom.
Sites, in units of the cell vectors:
1 Cs 0.0000 0.0000 0.5000  2 As 3.49
2 Cs 0.0000 0.5000 0.0000  2 As 3.49
3 Cs 0.5000 0.0000 0.0000  2 As 3.49
4 Ge 0.5000 0.5000 0.5000  12 Cs 4.93
5 As 0.0000 0.0000 0.0000  6 Cs 3.49